Entry 1:
Computed, not measured: crystalline CeLuGeRh at its relaxed geometry at the PBE level of DFT.

Output
The raw total energy comes out at -25.10 eV/cell. As for the symmetry: F-43m, No. 216. The calculation puts the density at 9.464 Mg/m³.

Unit cell a=4.9562 b=4.9562 c=4.9562 alpha=60.00 beta=60.00 gamma=60.00
Each line ends with the local moment (μB).
Element x y z (fractional)
Lu1 0.2500 0.2500 0.2500  0.00
Rh1 0.5000 0.5000 0.5000  -0.07
Ce1 0.7500 0.7500 0.7500  0.34
Ge1 0.0000 0.0000 0.0000  -0.01

---

Entry 2:
Computed, not measured: crystalline CeLuGeRu at its relaxed geometry at the PBE level of DFT.

Output
The raw total energy comes out at -26.10 eV/cell. As for the symmetry: F-43m, No. 216. The calculation puts the density at 9.601 Mg/m³.

Unit cell a=4.9264 b=4.9264 c=4.9264 alpha=60.00 beta=60.00 gamma=60.00
Element x y z (fractional)
Lu1 0.0000 0.0000 0.0000
Ge1 0.2500 0.2500 0.2500
Ru1 0.7500 0.7500 0.7500
Ce1 0.5000 0.5000 0.5000

---

Entry 3:
Computed, not measured: crystalline CeLuSnGe at its relaxed geometry at the PBE level of DFT.

Output
The raw total energy comes out at -21.09 eV/cell. As for the symmetry: F-43m, No. 216. The calculation puts the density at 8.385 Mg/m³.

Unit cell a=5.2152 b=5.2152 c=5.2152 alpha=60.00 beta=60.00 gamma=60.00
Each line ends with the local moment (μB).
Element x y z (fractional)
Lu1 0.0000 0.0000 0.0000  0.12
Ce1 0.5000 0.5000 0.5000  0.72
Ge1 0.2500 0.2500 0.2500  0.04
Sn1 0.7500 0.7500 0.7500  0.04

---

Entry 4:
Computed, not measured: crystalline CeLuTlGe at its relaxed geometry at the PBE level of DFT.

Output
The raw total energy comes out at -18.92 eV/cell. As for the symmetry: F-43m, No. 216. The calculation puts the density at 9.716 Mg/m³.

Unit cell a=5.2306 b=5.2306 c=5.2306 alpha=60.00 beta=60.00 gamma=60.00
Each line ends with the local moment (μB).
Element x y z (fractional)
Ge1 0.2500 0.2500 0.2500  0.01
Lu1 0.0000 0.0000 0.0000  0.05
Tl1 0.7500 0.7500 0.7500  0.01
Ce1 0.5000 0.5000 0.5000  0.72

---

Entry 5:
Computed, not measured: crystalline CeLuZnGe at its relaxed geometry at the PBE level of DFT.

Output
The raw total energy comes out at -18.23 eV/cell. As for the symmetry: F-43m, No. 216. The calculation puts the density at 8.410 Mg/m³.

Unit cell a=5.0204 b=5.0204 c=5.0204 alpha=60.00 beta=60.00 gamma=60.00
Each line ends with the local moment (μB).
Element x y z (fractional)
Zn1 0.7500 0.7500 0.7500  0.01
Ge1 0.2500 0.2500 0.2500  0.00
Lu1 0.5000 0.5000 0.5000  0.03
Ce1 0.0000 0.0000 0.0000  0.52

---

Entry 6:
Computed, not measured: crystalline Ce5MgGe5 at its relaxed geometry at the PBE level of DFT.

Output
The raw total energy comes out at -58.27 eV/cell. As for the symmetry: C2/m, No. 12. The calculation puts the density at 5.885 Mg/m³.

Unit cell a=5.9091 b=7.2082 c=8.3332 alpha=106.82 beta=90.00 gamma=114.20
Each line ends with the local moment (μB).
Element x y z (fractional)
Mg1 0.0000 0.0000 0.0000  0.00
Ge1 0.5000 0.0000 0.0000  -0.01
Ge2 0.8276 0.6552 0.1698  -0.02
Ge3 0.1724 0.3448 0.8302  -0.02
Ge4 0.8320 0.6641 0.6607  -0.01
Ge5 0.1680 0.3359 0.3393  -0.01
Ce1 0.0000 0.0000 0.5000  0.50
Ce2 0.3382 0.6765 0.6672  -0.11
Ce3 0.6647 0.3293 0.8328  0.25
Ce4 0.6618 0.3235 0.3328  -0.11
Ce5 0.3353 0.6706 0.1672  0.25

---

Entry 7:
Computed, not measured: crystalline Ce5Mg8Ge8 at its relaxed geometry at the PBE level of DFT.

Output
The raw total energy comes out at -90.05 eV/cell. As for the symmetry: C2/m, No. 12. The calculation puts the density at 5.018 Mg/m³.

Unit cell a=8.5194 b=8.5194 c=13.2737 alpha=87.93 beta=87.93 gamma=30.49
Each line ends with the local moment (μB).
Element x y z (fractional)
Ge1 0.3413 0.3413 0.8879  -0.02
Ge2 0.7207 0.7207 0.6385  -0.02
Ge3 0.6587 0.6587 0.1121  -0.02
Ge4 0.4620 0.4620 0.5910  0.00
Ge5 0.5380 0.5380 0.4091  0.00
Ge6 0.0574 0.0574 0.8546  -0.02
Ge7 0.9426 0.9426 0.1454  -0.02
Ge8 0.2793 0.2793 0.3615  -0.02
Mg1 0.7008 0.7008 0.4316  0.01
Mg2 0.1790 0.1790 0.9984  0.00
Mg3 0.8210 0.8210 0.0016  0.00
Mg4 0.7860 0.7860 0.2282  0.00
Mg5 0.2140 0.2140 0.7718  0.00
Mg6 0.5694 0.5694 0.7503  0.00
Mg7 0.2992 0.2992 0.5684  0.01
Mg8 0.4306 0.4306 0.2497  0.00
Ce1 0.1048 0.1048 0.2548  0.86
Ce2 0.8952 0.8952 0.7452  0.86
Ce3 0.0931 0.0931 0.5640  0.96
Ce4 0.5000 0.5000 0.0000  0.74
Ce5 0.9069 0.9069 0.4360  0.96

---

Entry 8:
Computed, not measured: crystalline CeMg2Ge at its relaxed geometry at the PBE level of DFT.

Output
As for the symmetry: P4/mmm, No. 123. The calculation puts the density at 4.676 Mg/m³. The offset from the most stable computed form comes out at 0.000 eV per atom.

Unit cell a=4.8904 b=4.3567 c=4.3567 alpha=90.00 beta=90.00 gamma=90.00
Each line ends with the local moment (μB).
Element x y z (fractional)
Ce1 0.5000 0.0000 0.0000  0.51
Mg1 0.0000 0.5000 0.0000  0.00
Mg2 0.0000 0.0000 0.5000  0.00
Ge1 0.5000 0.5000 0.5000  0.00

---

Entry 9:
Computed, not measured: crystalline CeMg2Ge at its relaxed geometry at the PBE level of DFT.

Output
As for the symmetry: R-3m, No. 166. The calculation puts the density at 4.779 Mg/m³. The offset from the most stable computed form comes out at 0.416 eV per atom.

Unit cell a=3.1028 b=3.1028 c=11.0391 alpha=81.92 beta=81.92 gamma=60.00
Each line ends with the local moment (μB).
Element x y z (fractional)
Mg1 0.0979 0.0979 0.7063  0.00
Mg2 0.9021 0.9021 0.2937  0.00
Ge1 0.5000 0.5000 0.5000  0.00
Ce1 0.0000 0.0000 0.0000  0.39

---

Entry 10:
Computed, not measured: crystalline CeMgGe4 at its relaxed geometry at the PBE level of DFT.

Output
The raw total energy comes out at -27.22 eV/cell. As for the symmetry: F-43m, No. 216. The calculation puts the density at 6.089 Mg/m³.

Unit cell a=5.5986 b=5.5986 c=5.5986 alpha=60.00 beta=60.00 gamma=60.00
Each line ends with the local moment (μB).
Element x y z (fractional)
Mg1 0.2500 0.2500 0.2500  0.00
Ge1 0.6245 0.6245 0.1264  0.01
Ge2 0.1264 0.6245 0.6245  0.01
Ge3 0.6245 0.6245 0.6245  0.01
Ge4 0.6245 0.1264 0.6245  0.01
Ce1 0.0000 0.0000 0.0000  0.73

---

Entry 11:
Computed, not measured: crystalline Ce3MgGe4 at its relaxed geometry at the PBE level of DFT.

Output
The raw total energy comes out at -42.18 eV/cell. As for the symmetry: Immm, No. 71. The calculation puts the density at 6.008 Mg/m³.

Unit cell a=4.2249 b=6.2428 c=8.5766 alpha=111.34 beta=104.26 gamma=90.00
Each line ends with the local moment (μB).
Element x y z (fractional)
Ce1 0.0000 0.5000 0.0000  0.47
Ce2 0.8087 0.8087 0.6173  0.41
Ce3 0.1913 0.1913 0.3827  0.41
Ge1 0.6284 0.4286 0.2568  -0.01
Ge2 0.3716 0.5714 0.7432  -0.01
Ge3 0.6284 0.8282 0.2568  -0.01
Ge4 0.3716 0.1718 0.7432  -0.01
Mg1 0.5000 0.0000 0.0000  0.00